[1]
Here is crystalline AlTlMo2 at its relaxed geometry from Alexandria via LeMat-Bulk. Energies are from PBE.

Output
* E_tot: -0.4775 Ry/atom
* DFT formation energy: 1.782 eV per formula unit
* ΔE to the lowest computed polymorph: 0.92 eV/f.u.
* space-group type: P4/mmm
* DOS at the Fermi energy: 2.61 states/eV/cell

abc: 2.822 2.822 8.774
angles: 90.00 90.00 90.00
Positions (direct):
Tl1 0.500 0.500 0.250
Mo1 0.000 0.000 0.973
Mo2 0.000 0.000 0.527
Al1 0.500 0.500 0.750

[2]
Here is crystalline AlTlMo2 at its relaxed geometry from Alexandria via LeMat-Bulk. Energies are from PBE.

Output
* E_tot: -0.4832 Ry/atom
* DFT formation energy: 1.473 eV per formula unit
* ΔE to the lowest computed polymorph: 0.61 eV/f.u.
* space-group type: Cmm2
* DOS at the Fermi energy: 2.42 states/eV/cell

abc: 2.932 2.932 9.429
angles: 90.00 90.00 112.66
Positions (direct):
Tl1 0.000 0.000 0.494
Mo1 0.000 0.000 0.006
Mo2 0.500 0.500 0.217
Al1 0.500 0.500 0.783